1.
Li2SbAu2, relaxed, DFT PBE; space-group type = C2/m; E_form (uncorrected) = -0.386 eV/atom; offset from the most stable computed form = 0.30 eV per formula unit
1.0
6.1377 -2.2961 0.0000
6.1377 2.2961 0.0000
-3.6598 0.0000 6.8202
Li Sb Au
4 2 4
direct
0.0438 0.0438 0.3541
0.1932 0.1932 0.0327
0.8068 0.8068 0.9673
0.9562 0.9562 0.6459
0.2912 0.2912 0.7210
0.7088 0.7088 0.2790
0.3692 0.3692 0.4142
0.4442 0.4442 0.1262
0.5558 0.5558 0.8738
0.6308 0.6308 0.5858

2.
Pm2MgTa2Rh5, relaxed, DFT PBE; space-group type = P4/mbm; DFT formation energy = -0.389 eV per atom
1.0
10.8878 0.0000 0.0000
0.0000 10.8878 0.0000
0.0000 0.0000 3.2008
Pm Mg Ta Rh
4 2 4 10
direct
0.1711 0.3289 0.0000
0.3289 0.8289 0.0000
0.6711 0.1711 0.0000
0.8289 0.6711 0.0000
0.0000 0.0000 0.0000
0.5000 0.5000 0.0000
0.1372 0.6372 0.0000
0.3628 0.1372 0.0000
0.6372 0.8628 0.0000
0.8628 0.3628 0.0000
0.0000 0.5000 0.5000
0.0558 0.8030 0.5000
0.1970 0.0558 0.5000
0.3030 0.5558 0.5000
0.4442 0.3030 0.5000
0.5000 0.0000 0.5000
0.5558 0.6970 0.5000
0.6970 0.4442 0.5000
0.8030 0.9442 0.5000
0.9442 0.1970 0.5000

3.
Pr6Ir2AuI3, relaxed, DFT PBE; space-group type = C2/m; E_form (uncorrected) = -0.942 eV/atom
1.0
3.7270 -6.4550 0.0000
3.7270 6.4550 0.0000
-2.4832 0.0000 8.1690
Pr Ir Au I
6 2 1 3
direct
0.0853 0.4370 0.8117
0.2107 0.2107 0.1874
0.4370 0.0853 0.8117
0.5630 0.9147 0.1883
0.7893 0.7893 0.8126
0.9147 0.5630 0.1883
0.1668 0.8332 0.0000
0.8332 0.1668 0.0000
0.5000 0.5000 0.0000
0.0000 0.0000 0.5000
0.3346 0.6654 0.5000
0.6654 0.3346 0.5000

4.
CoTeMo2, relaxed, DFT PBE; space-group type = R-3m; E_form (uncorrected) = 0.624 eV/atom
1.0
1.5177 0.8762 8.2821
-1.5177 0.8762 8.2821
0.0000 -1.7525 8.2821
Co Te Mo
1 1 2
direct
0.0000 0.0000 0.0000
0.5000 0.5000 0.5000
0.2552 0.2552 0.2552
0.7448 0.7448 0.7448

5.
U4Ir7Rh6, relaxed, DFT PBE; space-group type = Im-3m; DFT formation energy = -0.384 eV per atom
1.0
-4.1664 4.1664 4.1664
4.1664 -4.1664 4.1664
4.1664 4.1664 -4.1664
U Ir Rh
4 7 6
direct
0.0000 0.0000 0.5000
0.0000 0.5000 0.0000
0.5000 0.0000 0.0000
0.5000 0.5000 0.5000
0.0000 0.0000 0.0000
0.2500 0.5000 0.7500
0.2500 0.7500 0.5000
0.5000 0.2500 0.7500
0.5000 0.7500 0.2500
0.7500 0.2500 0.5000
0.7500 0.5000 0.2500
0.0000 0.2974 0.2974
0.0000 0.7026 0.7026
0.2974 0.0000 0.2974
0.2974 0.2974 0.0000
0.7026 0.0000 0.7026
0.7026 0.7026 0.0000

6.
BaSrTeN2, relaxed, DFT PBE; space-group type = P4/mmm; E_form (uncorrected) = 0.383 eV/atom; offset from the most stable computed form = 0.00 eV per formula unit
1.0
5.0167 0.0000 0.0000
0.0000 5.0167 0.0000
0.0000 0.0000 6.4518
Ba Sr Te N
1 1 1 2
direct
0.0000 0.0000 0.0000
0.5000 0.5000 0.5000
0.5000 0.5000 0.0000
0.0000 0.5000 0.5000
0.5000 0.0000 0.5000

7.
Pm3TmN, relaxed, DFT PBE; space-group type = Pm-3m; E_form (uncorrected) = -0.480 eV/atom
1.0
5.0922 0.0000 0.0000
0.0000 5.0922 0.0000
0.0000 0.0000 5.0922
Pm Tm N
3 1 1
direct
0.0000 0.0000 0.5000
0.0000 0.5000 0.0000
0.5000 0.0000 0.0000
0.5000 0.5000 0.5000
0.0000 0.0000 0.0000

8.
LiLa2Ag, relaxed, DFT PBE; space-group type = P4/mmm; DFT formation energy = -0.071 eV per atom; offset from the most stable computed form = 0.03 eV per formula unit
1.0
5.3343 0.0000 0.0000
0.0000 5.3343 0.0000
0.0000 0.0000 3.9665
Li La Ag
1 2 1
direct
0.0000 0.0000 0.0000
0.0000 0.5000 0.5000
0.5000 0.0000 0.5000
0.5000 0.5000 0.0000

9.
NdAlO2, relaxed, DFT PBE; space-group type = R-3m; E_form (uncorrected) = -2.114 eV/atom
1.0
1.5517 0.8959 6.6713
-1.5517 0.8959 6.6713
0.0000 -1.7918 6.6713
Nd Al O
1 1 2
direct
0.0000 0.0000 0.0000
0.5000 0.5000 0.5000
0.1199 0.1199 0.1199
0.8801 0.8801 0.8801

10.
GaSn, relaxed, DFT PBE; space-group type = F-43m; DFT formation energy = 0.152 eV per atom
1.0
0.0000 3.1163 3.1163
3.1163 0.0000 3.1163
3.1163 3.1163 0.0000
Ga Sn
1 1
direct
0.0000 0.0000 0.0000
0.7500 0.7500 0.7500

Number 1: E_tot -32.87 eV per cell, size of the total moment 0.00 μB/cell. Number 2: E_tot -150.90 eV per cell, size of the total moment 0.00 μB/cell. Number 3: E_tot -65.63 eV per cell, size of the total moment 0.00 μB/cell. Number 4: E_tot -29.41 eV per cell, size of the total moment 1.29 μB/cell. Number 5: E_tot -157.82 eV per cell, size of the total moment 2.86 μB/cell. Number 6: E_tot -21.48 eV per cell, size of the total moment 4.00 μB/cell. Number 7: E_tot -29.45 eV per cell, size of the total moment 0.00 μB/cell. Number 8: E_tot -14.90 eV per cell, size of the total moment 0.28 μB/cell. Number 9: E_tot -26.88 eV per cell, size of the total moment 0.30 μB/cell. Number 10: E_tot -6.72 eV per cell, size of the total moment 0.00 μB/cell.